Entry 1:
Below is a relaxed structure of CrCoTePt2, with properties calculated at the PBE level.

## Properties
D(E_F)   5.38 states/eV per cell
Total magnetization   2.0 Bohr magnetons per cell
Crystal system   tetragonal
Formation energy (no corrections)   66.5 kJ/mol of atoms

a b c (Å): 4.7200 4.7200 4.2501
angles (deg): 90.00 90.00 90.00
Space group P4/mmm (No. 123)
Inequivalent atoms, fractional coordinates:
Cr 0.0000 0.0000 0.0000 (multiplicity 1)
Co 0.0000 0.0000 0.5000 (multiplicity 1)
Te 0.5000 0.5000 0.0000 (multiplicity 1)
Pt 0.0000 0.5000 0.5000 (multiplicity 2)

---

Entry 2:
Below is a relaxed structure of NiMo2AsPt, with properties calculated at the PBE level.

## Properties
D(E_F)   8.35 states/eV per cell
Total magnetization   2.7 Bohr magnetons per cell
DFT formation energy   1086 meV/atom
Crystal system   tetragonal

a b c (Å): 4.5954 4.5954 4.1715
angles (deg): 90.00 90.00 90.00
Space group P4/mmm (No. 123)
Inequivalent atoms, fractional coordinates:
Ni 0.0000 0.0000 0.0000 (multiplicity 1)
Mo 0.0000 0.5000 0.0000 (multiplicity 2)
As 0.0000 0.0000 0.5000 (multiplicity 1)
Pt 0.5000 0.5000 0.5000 (multiplicity 1)

---

Entry 3:
Below is a relaxed structure of PmSmDy6Er2, with properties calculated at the PBE level.

## Properties
D(E_F)   59.73 states/eV per cell
Total magnetization   0.0 Bohr magnetons per cell
DFT formation energy   123 meV/atom
Crystal system   monoclinic

a b c (Å): 9.1123 14.9787 9.5406
angles (deg): 90.00 97.20 90.00
Space group C2/c (No. 15)
Inequivalent atoms, fractional coordinates:
Pm 0.0000 0.0923 0.2500 (multiplicity 4)
Sm 0.0000 0.4724 0.7500 (multiplicity 4)
Dy 0.0645 0.3171 0.4435 (multiplicity 8)
Dy 0.0984 0.1085 0.6189 (multiplicity 8)
Dy 0.2058 0.2731 0.8187 (multiplicity 8)
Er 0.2477 0.4485 0.0465 (multiplicity 8)

---

Entry 4:
Below is a relaxed structure of ZnCd3, with properties calculated at the PBE level.

## Properties
D(E_F)   2.94 states/eV per cell
Total magnetization   0.0 Bohr magnetons per cell
DFT formation energy   64 meV/atom
Crystal system   tetragonal

a b c (Å): 4.4048 4.4048 8.6456
angles (deg): 90.00 90.00 90.00
Space group I4/mmm (No. 139)
Inequivalent atoms, fractional coordinates:
Zn 0.0000 0.0000 0.0000 (multiplicity 2)
Cd 0.0000 0.0000 0.5000 (multiplicity 2)
Cd 0.0000 0.5000 0.2500 (multiplicity 4)

---

no.,V (Å³/atom)
1,18.94
2,17.62
3,32.30
4,20.97